A plane-wave DFT calculation with PBE was carried out for YErAgRh after structural relaxation.

The structure in CIF format:
```
data_YErAgRh
_chemical_formula_sum 'Y4 Er4 Ag4 Rh4'
_symmetry_space_group_name_H-M 'F -4 3 m'
_symmetry_Int_Tables_number 216
_symmetry_space_group_name_Hall 'F -4 2 3'
_cell_length_a 7.033
_cell_length_b 7.033
_cell_length_c 7.033
_cell_angle_alpha 90.00
_cell_angle_beta 90.00
_cell_angle_gamma 90.00
loop_
_atom_site_label
_atom_site_type_symbol
_atom_site_fract_x
_atom_site_fract_y
_atom_site_fract_z
Y1 Y 0.000 0.000 0.000
Er1 Er 0.000 0.000 0.500
Ag1 Ag 0.250 0.250 0.250
Rh1 Rh 0.250 0.250 0.750
```

Calculated values
V ... 347.9 Å³ per cell
Total DFT energy (no corrections) ... -23.6 eV per formula unit
Crystal system ... cubic
Size of the total moment ... 0.00 μB/cell
Energy above the lowest structure with this stoichiometry ... 0.08 eV/f.u.
N(E_F) ... 0.8996 states/eV per atom